MgNi6Os | SCAN | single point on PBEsol structure

It has space group Cmmm (No. 65), with a = 7.1420 Å, b = 10.0891 Å, c = 10.0843 Å, α = 90.00°, β = 90.00° and γ = 90.00°. The inequivalent atoms are Mg at (0.0000, 0.0000, 0.2496), Mg at (0.0000, 0.2482, 0.0000), Ni at (0.0000, 0.0000, 0.0000), Ni at (0.0000, 0.0000, 0.5000), Ni at (0.0000, 0.2540, 0.2565), Ni at (0.0000, 0.5000, 0.0000), Ni at (0.0000, 0.5000, 0.5000), Ni at (0.2435, 0.3727, 0.3767), Ni at (0.2455, 0.3764, 0.1276), Os at (0.0000, 0.2422, 0.5000) and Os at (0.0000, 0.5000, 0.2445).

The calculation puts the final energy at -21.7028 eV per atom. The calculation puts the density of states at the Fermi level at 55.2 states/eV per cell.